This record from the Alexandria database describes Re2C3 at its PBEsol-relaxed geometry. The functional is SCAN.

Output
For the formation energy, the calculation gives 1386 meV/atom. For the density of states at the Fermi level, the calculation gives 2.5 states/eV per cell. The total moment is 0.00 μB/cell. As for the total energy: -33.112 eV per atom.

Cell lengths 7.8000, 7.8000, 7.8000 Å; angles 22.13, 22.13, 22.13 degrees
Closest atoms and distances in Å follow each position.
Fractional positions:
Re1 0.1034 0.1034 0.1034  3 C 1.99
Re2 0.8966 0.8966 0.8966  3 C 1.99
C1 0.2728 0.2728 0.2728  3 Re 1.99
C2 0.5000 0.5000 0.5000  6 Re 2.25
C3 0.7272 0.7272 0.7272  3 Re 1.99